Entry 1:
# TbTm3C (GGA-PBE, relaxed)
# **Total DFT energy (no corrections)**: -0.202 hartree per atom
# **Formation energy from the elements**: -0.0400 eV per atom
data_TbTm3C
_chemical_formula_sum 'Tb1 Tm3 C1'
_space_group_name_H-M_alt 'P m -3 m'
_space_group_IT_number 221
_space_group_name_Hall '-P 4 2 3'
_cell_length_a 4.9720
_cell_length_b 4.9720
_cell_length_c 4.9720
_cell_angle_alpha 90.00
_cell_angle_beta 90.00
_cell_angle_gamma 90.00
loop_
_atom_site_label
_atom_site_type_symbol
_atom_site_fract_x
_atom_site_fract_y
_atom_site_fract_z
Tb1 Tb 0.0000 0.0000 0.0000
Tm1 Tm 0.0000 0.5000 0.5000
C1 C 0.5000 0.5000 0.5000

Entry 2:
# Tb3GdCl (GGA-PBE, relaxed)
# **Formation energy (no corrections)**: -0.46 eV/atom
# **Total DFT energy (no corrections)**: -0.236 hartree per atom
data_Tb3GdCl
_chemical_formula_sum 'Tb3 Gd1 Cl1'
_space_group_name_H-M_alt 'P m -3 m'
_space_group_IT_number 221
_space_group_name_Hall '-P 4 2 3'
_cell_length_a 5.3088
_cell_length_b 5.3088
_cell_length_c 5.3088
_cell_angle_alpha 90.00
_cell_angle_beta 90.00
_cell_angle_gamma 90.00
loop_
_atom_site_label
_atom_site_type_symbol
_atom_site_fract_x
_atom_site_fract_y
_atom_site_fract_z
Tb1 Tb 0.0000 0.0000 0.5000
Gd1 Gd 0.5000 0.5000 0.5000
Cl1 Cl 0.0000 0.0000 0.0000

Entry 3:
# Tb6TmCd2 (GGA-PBE, relaxed)
# **Total DFT energy (no corrections)**: -0.144 hartree per atom
# **Formation energy from the elements**: -0.1290 eV per atom
# **Energy above the most stable polymorph in this dataset**: 0 meV per atom
data_Tb6TmCd2
_chemical_formula_sum 'Tb12 Tm2 Cd4'
_space_group_name_H-M_alt 'C 1 2/m 1'
_space_group_IT_number 12
_space_group_name_Hall '-C 2y'
_cell_length_a 12.5991
_cell_length_b 3.7454
_cell_length_c 11.8633
_cell_angle_alpha 90.00
_cell_angle_beta 108.81
_cell_angle_gamma 90.00
loop_
_atom_site_label
_atom_site_type_symbol
_atom_site_fract_x
_atom_site_fract_y
_atom_site_fract_z
Tb1 Tb 0.0164 0.0000 0.3383
Tb2 Tb 0.1850 0.5000 0.8775
Tb3 Tb 0.1881 0.5000 0.5855
Tm1 Tm 0.0000 0.0000 0.0000
Cd1 Cd 0.1440 0.5000 0.2037

Entry 4:
# Pr2Dy3ErBi6 (GGA-PBE, relaxed)
# **Total DFT energy (no corrections)**: -0.189 hartree per atom
# **Formation energy from the elements**: -0.8785 eV per atom
data_Pr2Dy3ErBi6
_chemical_formula_sum 'Pr4 Dy6 Er2 Bi12'
_space_group_name_H-M_alt 'C 1 2/m 1'
_space_group_IT_number 12
_space_group_name_Hall '-C 2y'
_cell_length_a 19.7265
_cell_length_b 4.5299
_cell_length_c 9.0533
_cell_angle_alpha 90.00
_cell_angle_beta 103.23
_cell_angle_gamma 90.00
loop_
_atom_site_label
_atom_site_type_symbol
_atom_site_fract_x
_atom_site_fract_y
_atom_site_fract_z
Pr1 Pr 0.1654 0.0000 0.3322
Dy1 Dy 0.0000 0.5000 0.5000
Dy2 Dy 0.1687 0.0000 0.8340
Er1 Er 0.0000 0.5000 0.0000
Bi1 Bi 0.0037 0.0000 0.7535
Bi2 Bi 0.1652 0.5000 0.0748
Bi3 Bi 0.1645 0.5000 0.5893

Entry 5:
# KZnCu2I6 (GGA-PBE, relaxed)
# **Formation energy (no corrections)**: -0.48 eV/atom
# **Total DFT energy (no corrections)**: -0.091 hartree per atom
data_KZnCu2I6
_chemical_formula_sum 'K4 Zn4 Cu8 I24'
_space_group_name_H-M_alt 'C 1 2/c 1'
_space_group_IT_number 15
_space_group_name_Hall '-C 2yc'
_cell_length_a 15.4190
_cell_length_b 14.1670
_cell_length_c 8.7030
_cell_angle_alpha 90.00
_cell_angle_beta 117.21
_cell_angle_gamma 90.00
loop_
_atom_site_label
_atom_site_type_symbol
_atom_site_fract_x
_atom_site_fract_y
_atom_site_fract_z
K1 K 0.0000 0.1560 0.2500
Zn1 Zn 0.0000 0.1813 0.7500
Cu1 Cu 0.1940 0.4425 0.1456
I1 I 0.1168 0.0616 0.6806
I2 I 0.1188 0.2623 0.0390
I3 I 0.1340 0.4518 0.3791

Entry 6:
# Cs2TiTeS4 (GGA-PBE, relaxed)
# **Formation energy (no corrections)**: -0.73 eV/atom
# **Total DFT energy (no corrections)**: -0.161 hartree per atom
data_Cs2TiTeS4
_chemical_formula_sum 'Cs16 Ti8 Te8 S32'
_space_group_name_H-M_alt 'F d d d'
_space_group_IT_number 70
_cell_length_a 5.4507
_cell_length_b 15.7568
_cell_length_c 26.6312
_cell_angle_alpha 90.00
_cell_angle_beta 90.00
_cell_angle_gamma 90.00
loop_
_space_group_symop_operation_xyz
'x,y,z'
'-x,-y,-z'
'-x+1/4,-y+1/4,z'
'x+1/4,y+1/4,-z'
'x,-y+1/4,-z+1/4'
'-x,y+1/4,z+1/4'
'-x+1/4,y,-z+1/4'
'x+1/4,-y,z+1/4'
'x,y+1/2,z+1/2'
'-x,-y+1/2,-z+1/2'
'-x+1/4,-y+3/4,z+1/2'
'x+1/4,y+3/4,-z+1/2'
'x,-y+3/4,-z+3/4'
'-x,y+3/4,z+3/4'
'-x+1/4,y+1/2,-z+3/4'
'x+1/4,-y+1/2,z+3/4'
'x+1/2,y,z+1/2'
'-x+1/2,-y,-z+1/2'
'-x+3/4,-y+1/4,z+1/2'
'x+3/4,y+1/4,-z+1/2'
'x+1/2,-y+1/4,-z+3/4'
'-x+1/2,y+1/4,z+3/4'
'-x+3/4,y,-z+3/4'
'x+3/4,-y,z+3/4'
'x+1/2,y+1/2,z'
'-x+1/2,-y+1/2,-z'
'-x+3/4,-y+3/4,z'
'x+3/4,y+3/4,-z'
'x+1/2,-y+3/4,-z+1/4'
'-x+1/2,y+3/4,z+1/4'
'-x+3/4,y+1/2,-z+1/4'
'x+3/4,-y+1/2,z+1/4'
loop_
_atom_site_label
_atom_site_type_symbol
_atom_site_fract_x
_atom_site_fract_y
_atom_site_fract_z
Cs1 Cs 0.1250 0.1250 0.2948
Ti1 Ti 0.1250 0.1250 0.6250
Te1 Te 0.1250 0.1250 0.1250
S1 S 0.0769 0.2772 0.8187

Entry 7:
# ZrCdAs3 (GGA-PBE, relaxed)
# **Total DFT energy (no corrections)**: -0.141 hartree per atom
# **Formation energy from the elements**: 0.8332 eV per atom
# **Energy above the most stable polymorph in this dataset**: 635 meV per atom
data_ZrCdAs3
_chemical_formula_sum 'Zr1 Cd1 As3'
_space_group_name_H-M_alt 'P m -3 m'
_space_group_IT_number 221
_space_group_name_Hall '-P 4 2 3'
_cell_length_a 5.0174
_cell_length_b 5.0174
_cell_length_c 5.0174
_cell_angle_alpha 90.00
_cell_angle_beta 90.00
_cell_angle_gamma 90.00
loop_
_atom_site_label
_atom_site_type_symbol
_atom_site_fract_x
_atom_site_fract_y
_atom_site_fract_z
Zr1 Zr 0.0000 0.0000 0.0000
Cd1 Cd 0.5000 0.5000 0.5000
As1 As 0.0000 0.5000 0.5000

Entry 8:
# HgPtW2 (GGA-PBE, relaxed)
# **Total DFT energy (no corrections)**: -0.282 hartree per atom
# **Formation energy from the elements**: 0.3836 eV per atom
data_HgPtW2
_chemical_formula_sum 'Hg2 Pt2 W4'
_space_group_name_H-M_alt 'C 1 m 1'
_space_group_IT_number 8
_space_group_name_Hall 'C -2y'
_cell_length_a 9.5518
_cell_length_b 2.7710
_cell_length_c 5.1533
_cell_angle_alpha 90.00
_cell_angle_beta 98.11
_cell_angle_gamma 90.00
loop_
_atom_site_label
_atom_site_type_symbol
_atom_site_fract_x
_atom_site_fract_y
_atom_site_fract_z
Hg1 Hg 0.0000 0.0000 0.0000
Pt1 Pt 0.2432 0.0000 0.7548
W1 W 0.0105 0.5000 0.5011
W2 W 0.2564 0.5000 0.2741

Entry 9:
# CsSnHI2 (GGA-PBE, relaxed)
# **Total DFT energy (no corrections)**: -0.098 hartree per atom
# **Energy above the most stable polymorph in this dataset**: 185 meV per atom
data_CsSnHI2
_chemical_formula_sum 'Cs1 Sn1 H1 I2'
_space_group_name_H-M_alt 'P 4/m m m'
_space_group_IT_number 123
_space_group_name_Hall '-P 4 2'
_cell_length_a 6.4090
_cell_length_b 6.4090
_cell_length_c 4.0872
_cell_angle_alpha 90.00
_cell_angle_beta 90.00
_cell_angle_gamma 90.00
loop_
_atom_site_label
_atom_site_type_symbol
_atom_site_fract_x
_atom_site_fract_y
_atom_site_fract_z
Cs1 Cs 0.0000 0.0000 0.0000
Sn1 Sn 0.5000 0.5000 0.0000
H1 H 0.5000 0.5000 0.5000
I1 I 0.0000 0.5000 0.5000

Entry 10:
# MgFe2Ag (GGA-PBE, relaxed)
# **Total DFT energy (no corrections)**: -0.185 hartree per atom
# **Formation energy from the elements**: 0.3121 eV per atom
data_MgFe2Ag
_chemical_formula_sum 'Mg1 Fe2 Ag1'
_space_group_name_H-M_alt 'P 1 2/m 1'
_space_group_IT_number 10
_space_group_name_Hall '-P 2y'
_cell_length_a 2.6955
_cell_length_b 4.5776
_cell_length_c 4.9362
_cell_angle_alpha 90.00
_cell_angle_beta 100.15
_cell_angle_gamma 90.00
loop_
_atom_site_label
_atom_site_type_symbol
_atom_site_fract_x
_atom_site_fract_y
_atom_site_fract_z
Mg1 Mg 0.0000 0.0000 0.0000
Fe1 Fe 0.2543 0.5000 0.7568
Ag1 Ag 0.5000 0.0000 0.5000

Entry 11:
# Tl2VInBr6 (GGA-PBE, relaxed)
# **Formation energy (no corrections)**: -0.80 eV/atom
# **Total DFT energy (no corrections)**: -0.127 hartree per atom
data_Tl2VInBr6
_chemical_formula_sum 'Tl6 V3 In3 Br18'
_space_group_name_H-M_alt 'R 3'
_space_group_IT_number 146
_space_group_name_Hall 'R 3'
_cell_length_a 7.9127
_cell_length_b 7.9127
_cell_length_c 19.4530
_cell_angle_alpha 90.00
_cell_angle_beta 90.00
_cell_angle_gamma 120.00
loop_
_atom_site_label
_atom_site_type_symbol
_atom_site_fract_x
_atom_site_fract_y
_atom_site_fract_z
Tl1 Tl 0.0000 0.0000 0.0000
Tl2 Tl 0.0000 0.0000 0.4866
V1 V 0.0000 0.0000 0.7833
In1 In 0.0000 0.0000 0.2751
Br1 Br 0.0473 0.7645 0.8623
Br2 Br 0.0996 0.3747 0.3761

Entry 12:
# AcTmPO2 (GGA-PBE, relaxed)
# **Formation energy (no corrections)**: -2.47 eV/atom
# **Total DFT energy (no corrections)**: -0.267 hartree per atom
data_AcTmPO2
_chemical_formula_sum 'Ac4 Tm4 P4 O8'
_space_group_name_H-M_alt 'C m c m'
_space_group_IT_number 63
_space_group_name_Hall '-C 2c 2'
_cell_length_a 4.0142
_cell_length_b 12.7248
_cell_length_c 7.4502
_cell_angle_alpha 90.00
_cell_angle_beta 90.00
_cell_angle_gamma 90.00
loop_
_atom_site_label
_atom_site_type_symbol
_atom_site_fract_x
_atom_site_fract_y
_atom_site_fract_z
Ac1 Ac 0.0000 0.2298 0.2500
Tm1 Tm 0.0000 0.5000 0.0000
P1 P 0.0000 0.0389 0.7500
O1 O 0.0000 0.3332 0.5533

no.,DOS at the Fermi energy (states/eV per atom)
1,0.99
2,1.07
3,0.98
4,0.17
5,0.87
6,0.36
7,0.98
8,0.54
9,0.24
10,0.94
11,0.98
12,0.54